# TlVH, relaxed, DFT PBE
# Energy ... -4.725 eV/atom
data_TlVH
_chemical_formula_sum 'Tl4 V4 H4'
_space_group_name_H-M_alt 'C 1 2/m 1'
_space_group_IT_number 12
_cell_length_a 10.567
_cell_length_b 3.405
_cell_length_c 5.727
_cell_angle_alpha 90.00
_cell_angle_beta 116.92
_cell_angle_gamma 90.00
loop_
_space_group_symop_operation_xyz
'x,y,z'
'-x,-y,-z'
'-x,y,-z'
'x,-y,z'
'x+1/2,y+1/2,z'
'-x+1/2,-y+1/2,-z'
'-x+1/2,y+1/2,-z'
'x+1/2,-y+1/2,z'
loop_
_atom_site_label
_atom_site_fract_x
_atom_site_fract_y
_atom_site_fract_z
Tl1 0.118 0.000 0.293
V1 0.180 0.000 0.842
H1 0.143 0.500 0.909